VASP calculation (GGA-PBE) on an optimized crystal structure of CsNaGaTe2.

```
10
Lattice="-4.0851 5.4152 2.3483 -1.8776 -3.7971 5.4899 7.0576 4.7513 1.3209" Properties=species:S:1:pos:R:3 pbc="T T T"
Na -2.5119 1.7583 2.5466
Na -3.4507 -0.1403 5.2915
Cs -0.0644 5.5673 3.8286
Cs 1.1593 0.8020 5.3304
Ga 0.0000 0.0000 0.0000
Ga -0.9388 -1.8986 2.7449
Te 0.5707 4.2677 7.5262
Te -2.4267 2.8703 5.5344
Te 0.5242 2.1016 1.6329
Te 3.5216 3.4990 3.6246
```

VASP energy = -2.854 eV per atom
ρ = 4.07 g/cm3
DOS(E_F) = 1.4 states/eV/f.u.



VASP calculation (GGA-PBE) on an optimized crystal structure of CsNaGa2Te4.

```
8
Lattice="7.4709 0.0000 0.0000 3.7354 6.8969 -0.0620 3.7354 0.5034 6.8788" Properties=species:S:1:pos:R:3 pbc="T T T"
Ga 11.2063 4.9489 4.5587
Ga 3.7354 2.4514 2.2581
Te 9.4073 3.9932 5.9098
Te 9.4072 3.4072 0.9070
Te 5.5345 6.2171 3.4954
Te 5.5345 1.1832 3.3214
Cs 0.0000 0.0000 0.0000
Na 7.4709 3.7002 3.4084
```

VASP energy = -3.027 eV per atom
ρ = 3.77 g/cm3
DOS(E_F) = 0.0 states/eV/f.u.



VASP calculation (GGA-PBE) on an optimized crystal structure of CsNa2TlGa.

```
5
Lattice="-4.3325 -1.6750 -3.9433 0.7730 -5.8217 1.6236 -3.8972 0.6050 4.0248" Properties=species:S:1:pos:R:3 pbc="T T T"
Ga -1.9486 0.3025 2.0124
Tl 0.0000 0.0000 0.0000
Na -2.1663 -0.8375 -1.9717
Na 0.3865 -2.9109 0.8118
Cs -3.7283 -3.4458 0.8526
```

VASP energy = -1.717 eV per atom
E above lowest polymorph = 48 meV/atom
ρ = 3.60 g/cm3
DOS(E_F) = 3.4 states/eV/f.u.
calculated formation energy = 0.299 eV per formula unit



VASP calculation (GGA-PBE) on an optimized crystal structure of CsNa2TlGa.

```
5
Lattice="-1.7162 3.9416 -4.1317 -0.4423 -4.3931 -4.0073 -5.4331 -0.8082 1.4857" Properties=species:S:1:pos:R:3 pbc="T T T"
Na -0.8581 1.9708 -2.0658
Na -0.2212 -2.1965 -2.0036
Cs -3.7958 -0.6298 -3.3266
Ga 0.0000 0.0000 0.0000
Tl -2.7165 -0.4041 0.7429
```

VASP energy = -1.765 eV per atom
E above lowest polymorph = 0 meV/atom
ρ = 3.72 g/cm3
DOS(E_F) = 3.5 states/eV/f.u.
calculated formation energy = 0.059 eV per formula unit